Record 1
Material: Na2NpMoO6
Method: DFT, PBE+U
State: relaxed Values from VASP.

Cell and atoms, written as Quantum ESPRESSO input:
```
&SYSTEM
  ibrav = 0, nat = 20, ntyp = 4
/
ATOMIC_SPECIES
Na 22.99 Na.upf
Np 237.00 Np.upf
Mo 95.94 Mo.upf
O 16.00 O.upf
CELL_PARAMETERS angstrom
-2.557 -2.247 -4.525
1.295 -5.255 1.878
-6.939 -0.249 4.086
ATOMIC_POSITIONS angstrom
Na -0.493 -5.176 2.821
Na -5.812 -4.104 1.773
Na -7.708 -2.575 -1.381
Na -2.389 -3.647 -0.332
Np -4.748 -1.248 -0.219
Np 0.647 -2.628 0.939
Mo -1.278 -1.124 -2.262
Mo -2.822 -2.752 2.982
O -0.131 -4.432 0.153
O -4.784 -6.067 0.072
O -8.069 -3.319 1.288
O -3.417 -1.684 1.368
O -3.016 -4.531 1.855
O -7.667 -6.171 1.777
O -5.185 -3.220 -0.415
O -0.534 -1.580 -0.336
O -3.445 -4.870 -2.141
O -5.044 -6.274 3.023
O -4.756 -2.881 3.581
O -3.157 -1.477 -1.583
```

Record 2
Material: Na3NpMo2O6
Method: DFT, PBE+U
State: relaxed Values from VASP.

Cell and atoms, written as Quantum ESPRESSO input:
```
&SYSTEM
  ibrav = 0, nat = 12, ntyp = 4
/
ATOMIC_SPECIES
Na 22.99 Na.upf
Np 237.00 Np.upf
Mo 95.94 Mo.upf
O 16.00 O.upf
CELL_PARAMETERS angstrom
-3.417 1.502 -4.276
5.314 -1.684 -1.066
-2.403 -5.257 1.318
ATOMIC_POSITIONS angstrom
Na 2.608 -3.763 -0.961
Na -3.113 -1.675 -3.064
Na -0.252 -2.719 -2.012
Np 0.000 0.000 0.000
Mo 2.402 -0.621 -2.137
Mo -0.504 0.439 -3.205
O -1.963 -3.704 -3.558
O 0.853 -1.279 -3.589
O 1.458 -1.734 -0.466
O 1.064 -4.809 -2.445
O -1.358 -4.160 -0.435
O -1.569 -0.630 -1.579
```

Record 3
Material: Na2NpMo2O6
Method: DFT, PBE+U
State: relaxed Values from VASP.

Cell and atoms, written as Quantum ESPRESSO input:
```
&SYSTEM
  ibrav = 0, nat = 11, ntyp = 4
/
ATOMIC_SPECIES
Na 22.99 Na.upf
Np 237.00 Np.upf
Mo 95.94 Mo.upf
O 16.00 O.upf
CELL_PARAMETERS angstrom
-1.754 5.147 -1.902
-3.027 -4.749 -1.215
-1.314 0.570 5.778
ATOMIC_POSITIONS angstrom
Na -1.979 3.400 -1.781
Na -2.802 -3.002 -1.337
Np -0.657 0.285 2.889
Mo -3.258 -1.150 1.444
Mo -2.837 2.119 1.217
O -4.438 0.692 1.743
O -2.271 -1.244 3.416
O -1.657 0.277 0.918
O -1.825 2.229 3.175
O -3.824 2.213 -0.756
O -4.270 -1.260 -0.514
```

Record 4
! Na2MoO4 | the Alexandria database | PBE+U | relaxed; values from VASP
&SYSTEM
  ibrav = 0, nat = 14, ntyp = 3
/
ATOMIC_SPECIES
Na 22.99 Na.upf
Mo 95.94 Mo.upf
O 16.00 O.upf
CELL_PARAMETERS angstrom
-4.073 -4.802 5.476
2.001 -5.466 4.260
-1.542 1.948 5.713
ATOMIC_POSITIONS angstrom
Na -4.236 -3.327 9.935
Na 0.623 -4.994 5.514
Na 0.475 -2.553 2.608
Na -2.281 -1.608 5.116
Mo -1.807 -4.160 7.724
Mo -2.710 -6.241 11.586
O -2.818 -6.717 13.318
O -1.173 -5.360 11.272
O -4.165 -5.228 11.277
O -2.684 -7.658 10.478
O -1.698 -3.684 5.992
O -3.344 -5.041 8.038
O -1.833 -2.743 8.833
O -0.352 -5.173 8.033
! Offset from the most stable computed form in eV/atom: 0.017

Record 5
Material: Na2MoO5
Method: DFT, PBE+U
State: relaxed Values from VASP.

Cell and atoms, written as Quantum ESPRESSO input:
```
&SYSTEM
  ibrav = 0, nat = 16, ntyp = 3
/
ATOMIC_SPECIES
Na 22.99 Na.upf
Mo 95.94 Mo.upf
O 16.00 O.upf
CELL_PARAMETERS angstrom
-2.403 3.062 -0.503
1.080 -2.611 -5.740
-8.909 -6.762 1.400
ATOMIC_POSITIONS angstrom
Na -4.964 -1.963 -3.548
Na -2.051 0.247 -4.006
Na -5.268 -4.347 -1.295
Na -8.181 -6.558 -0.837
Mo -7.971 -4.312 -3.485
Mo -2.262 -1.998 -1.358
O -7.278 -5.547 1.001
O -6.091 -4.647 0.814
O -3.486 -3.093 -2.169
O -1.078 -1.265 -2.547
O -3.464 -0.468 -1.615
O -6.769 -5.843 -3.228
O -6.746 -3.218 -2.674
O -9.154 -5.046 -2.296
O -2.954 -0.763 -5.844
O -4.141 -1.664 -5.658
```

Record 6
! Na3MoO4 | the Alexandria database | PBE+U | relaxed; values from VASP
&SYSTEM
  ibrav = 0, nat = 16, ntyp = 3
/
ATOMIC_SPECIES
Na 22.99 Na.upf
Mo 95.94 Mo.upf
O 16.00 O.upf
CELL_PARAMETERS angstrom
5.475 0.021 0.000
-1.901 5.486 0.000
0.000 0.000 6.690
ATOMIC_POSITIONS angstrom
Na 4.106 0.016 2.530
Na 1.369 0.005 4.160
Na 3.156 2.759 4.108
Na 3.156 2.759 0.852
Na 0.418 2.748 2.582
Na 0.418 2.748 5.838
Mo 4.106 0.016 5.733
Mo 1.369 0.005 0.956
O 4.826 1.249 4.422
O 2.505 1.113 6.038
O 2.088 1.238 2.268
O -0.232 1.103 0.652
O 3.806 4.405 6.038
O 1.486 4.270 4.422
O 1.069 4.394 0.652
O -1.252 4.259 2.268
! Offset from the most stable computed form in eV/atom: 0.000

Record 7
Material: NaMo3O6
Method: DFT, PBE+U
State: relaxed Values from VASP.

Cell and atoms, written as Quantum ESPRESSO input:
```
&SYSTEM
  ibrav = 0, nat = 20, ntyp = 3
/
ATOMIC_SPECIES
Na 22.99 Na.upf
Mo 95.94 Mo.upf
O 16.00 O.upf
CELL_PARAMETERS angstrom
5.527 0.000 0.000
0.000 6.535 -1.764
0.000 -0.146 6.767
ATOMIC_POSITIONS angstrom
Na 5.409 0.867 5.474
Na 2.646 5.522 -0.471
Mo 2.464 5.909 2.900
Mo 5.227 4.232 5.041
Mo 2.345 2.434 3.473
Mo 5.109 3.955 1.530
Mo 5.227 0.481 2.103
Mo 2.464 2.157 -0.038
O 0.910 4.560 3.145
O 3.674 4.147 3.673
O 1.161 2.842 5.229
O 3.924 5.758 1.505
O 1.844 0.107 6.445
O 3.360 1.323 4.892
O 0.597 5.066 0.111
O 4.607 6.283 -1.442
O 1.161 0.632 3.498
O 3.924 3.548 -0.226
O 0.910 2.243 1.330
O 3.674 1.829 1.858
```

Record 8
Material: Na3Mo2O8
Method: DFT, PBE+U
State: relaxed Values from VASP.

Cell and atoms, written as Quantum ESPRESSO input:
```
&SYSTEM
  ibrav = 0, nat = 26, ntyp = 3
/
ATOMIC_SPECIES
Na 22.99 Na.upf
Mo 95.94 Mo.upf
O 16.00 O.upf
CELL_PARAMETERS angstrom
7.007 0.000 0.000
-3.504 6.188 0.000
0.000 0.000 9.486
ATOMIC_POSITIONS angstrom
Na 1.752 4.628 2.372
Na 3.504 0.000 4.743
Na 5.256 1.560 7.115
Na -1.752 4.628 2.372
Na 0.000 0.000 0.000
Na 1.752 1.560 7.115
Mo 3.504 1.503 1.127
Mo 3.504 4.684 5.870
Mo 0.000 1.503 3.617
Mo 0.000 4.684 8.360
O 1.476 4.817 9.400
O 2.028 4.817 4.829
O 3.504 6.004 7.089
O 3.504 3.093 6.684
O 3.504 0.184 2.346
O 3.504 3.094 1.941
O -2.028 4.817 4.829
O 4.979 1.371 0.086
O -1.476 4.817 9.400
O 5.532 1.371 4.657
O 0.000 0.184 2.397
O 0.000 6.004 7.140
O 0.000 3.094 2.802
O 0.000 3.093 7.545
O 1.476 1.371 4.657
O 2.028 1.371 0.086
```

no.,calculated total energy (eV per formula unit)
1,-74.66
2,-83.21
3,-81.33
4,-42.29
5,-45.86
6,-44.66
7,-68.16
8,-78.95